1.
# Ta4Fe3Mo2C3

An optimized crystal structure of Ta4Fe3Mo2C3 (PBE, the Open Quantum Materials Database). Values from VASP.

DFT total energy: -10.204 eV per atom
volume: 13.402 Å³/atom
space group: C2/c (15)
magnetization: 8.4 μB per cell

Geometry as Quantum ESPRESSO input:
```
&SYSTEM
  ibrav = 0, nat = 24, ntyp = 4
/
ATOMIC_SPECIES
C 12.01 C.upf
Ta 180.95 Ta.upf
Fe 55.84 Fe.upf
Mo 95.94 Mo.upf
CELL_PARAMETERS angstrom
-4.946 1.474 -1.102
-2.107 -1.135 -4.704
-2.173 -11.692 6.759
ATOMIC_POSITIONS crystal
C 0.338 0.824 0.500
C 0.000 0.500 0.500
Ta 0.800 0.971 0.908
Fe 0.417 0.087 0.750
Mo 0.372 0.534 0.601
Mo 0.628 0.466 0.399
Ta 0.029 0.200 0.592
Ta 0.971 0.800 0.408
Ta 0.200 0.029 0.092
Mo 0.534 0.372 0.101
C 0.662 0.176 0.500
Ta 0.697 0.862 0.592
C 0.500 0.000 0.000
Fe 0.913 0.583 0.750
Fe 0.087 0.417 0.250
C 0.824 0.338 0.000
Fe 0.583 0.913 0.250
Ta 0.303 0.138 0.408
C 0.176 0.662 0.000
Mo 0.466 0.628 0.899
Fe 0.920 0.080 0.750
Ta 0.138 0.303 0.908
Ta 0.862 0.697 0.092
Fe 0.080 0.920 0.250
```

2.
# Fe3Mo4W2C3

An optimized crystal structure of Fe3Mo4W2C3 (PBE, the Open Quantum Materials Database). Values from VASP.

DFT total energy: -9.975 eV per atom
volume: 11.978 Å³/atom
space group: C2/c (15)
magnetization: 2.8 μB per cell

Geometry as Quantum ESPRESSO input:
```
&SYSTEM
  ibrav = 0, nat = 24, ntyp = 4
/
ATOMIC_SPECIES
W 183.84 W.upf
C 12.01 C.upf
Fe 55.84 Fe.upf
Mo 95.94 Mo.upf
CELL_PARAMETERS angstrom
4.391 -2.525 0.000
4.391 2.525 0.000
-2.948 0.000 12.965
ATOMIC_POSITIONS crystal
W 0.381 0.549 0.136
C 0.202 0.649 0.499
Fe 0.861 0.139 0.250
W 0.619 0.451 0.864
Mo 0.302 0.137 0.909
Fe 0.139 0.861 0.750
W 0.549 0.381 0.636
Fe 0.411 0.038 0.249
Mo 0.201 0.026 0.591
Mo 0.137 0.302 0.409
Fe 0.589 0.962 0.751
C 0.649 0.202 0.999
Fe 0.962 0.589 0.251
Mo 0.799 0.974 0.409
C 0.000 0.500 0.000
C 0.798 0.351 0.501
C 0.500 0.000 0.500
C 0.351 0.798 0.001
Mo 0.974 0.799 0.909
Mo 0.863 0.698 0.591
W 0.451 0.619 0.364
Mo 0.698 0.863 0.091
Mo 0.026 0.201 0.091
Fe 0.038 0.411 0.749
```

3.
# Fe3Mo2W4C3

An optimized crystal structure of Fe3Mo2W4C3 (PBE, the Open Quantum Materials Database). Values from VASP.

DFT total energy: -10.361 eV per atom
volume: 12.258 Å³/atom
space group: C2/c (15)
magnetization: 7.1 μB per cell

Geometry as Quantum ESPRESSO input:
```
&SYSTEM
  ibrav = 0, nat = 24, ntyp = 4
/
ATOMIC_SPECIES
Fe 55.84 Fe.upf
W 183.84 W.upf
C 12.01 C.upf
Mo 95.94 Mo.upf
CELL_PARAMETERS angstrom
4.441 -2.521 0.000
4.441 2.521 0.000
-2.999 0.000 13.135
ATOMIC_POSITIONS crystal
Fe 0.068 0.411 0.749
W 0.023 0.204 0.092
C 0.500 0.000 0.500
W 0.303 0.134 0.908
Fe 0.932 0.589 0.251
W 0.796 0.977 0.408
C 0.349 0.805 0.001
Mo 0.455 0.619 0.372
Mo 0.545 0.381 0.628
C 0.000 0.500 0.000
Mo 0.619 0.455 0.872
Mo 0.381 0.545 0.128
W 0.977 0.796 0.908
Fe 0.411 0.068 0.249
Fe 0.117 0.883 0.750
C 0.195 0.651 0.499
W 0.134 0.303 0.408
W 0.204 0.023 0.592
Fe 0.589 0.932 0.751
C 0.805 0.349 0.501
C 0.651 0.195 0.999
W 0.697 0.866 0.092
W 0.866 0.697 0.592
Fe 0.883 0.117 0.250
```